[1]
DFT (PBE) results for a geometry-optimized SrHgMoPd2 structure.

Cell lengths 5.1345, 5.5892, 5.1345 Å; angles 90.00, 90.00, 90.00 degrees
Last column: nearest neighbours and their distance in Å.
Fractional positions:
1 Sr 0.0000 0.5000 0.0000  2 Hg 2.79
2 Mo 0.5000 0.5000 0.5000  4 Sr 3.63, 8 Pd 3.79
3 Hg 0.0000 0.0000 0.0000  4 Pd 2.57, 2 Sr 2.79
4 Pd 0.0000 0.0000 0.5000  2 Hg 2.57
5 Pd 0.5000 0.0000 0.0000  2 Hg 2.57

DFT formation energy ... 546.7 kJ/mol of formula units
Magnetization ... 0.931 μB per atom

=====

[2]
DFT (PBE) results for a geometry-optimized La2SmHo6 structure.

Cell lengths 3.5112, 9.8315, 9.8315 Å; angles 63.58, 79.73, 79.73 degrees
Last column: nearest neighbours and their distance in Å.
Fractional positions:
1 La 0.8449 0.6565 0.6565  10 Ho 3.47-3.68, 2 La 3.51
2 La 0.1551 0.3435 0.3435  10 Ho 3.47-3.68, 2 La 3.51
3 Sm 0.0000 0.0000 0.0000  8 Ho 3.37-3.65, 2 Sm 3.51
4 Ho 0.8222 0.3435 0.0109  1 Sm 3.37, 7 Ho 3.43-3.70, 3 La 3.47-3.67
5 Ho 0.1778 0.9891 0.6565  1 Sm 3.37, 7 Ho 3.43-3.70, 3 La 3.47-3.67
6 Ho 0.1778 0.6565 0.9891  1 Sm 3.37, 7 Ho 3.43-3.70, 3 La 3.47-3.67
7 Ho 0.5000 0.3095 0.6905  6 Ho 3.51-3.70, 2 Sm 3.65, 4 La 3.68
8 Ho 0.8222 0.0109 0.3435  1 Sm 3.37, 7 Ho 3.43-3.70, 3 La 3.47-3.67
9 Ho 0.5000 0.6905 0.3095  6 Ho 3.51-3.70, 2 Sm 3.65, 4 La 3.68

DFT formation energy ... 96.0 kJ/mol of formula units
Magnetization ... 0.000 μB per atom

=====

[3]
DFT (PBE) results for a geometry-optimized CeZrTe2 structure.

Cell lengths 5.2235, 5.2235, 5.2235 Å; angles 60.00, 60.00, 60.00 degrees
Last column: nearest neighbours and their distance in Å.
Fractional positions:
1 Te 0.2500 0.2500 0.2500  4 Zr 3.20, 4 Ce 3.20
2 Te 0.7500 0.7500 0.7500  4 Zr 3.20, 4 Ce 3.20
3 Zr 0.5000 0.5000 0.5000  8 Te 3.20
4 Ce 0.0000 0.0000 0.0000  8 Te 3.20

Magnetization ... 0.110 μB per atom
Total DFT energy (no corrections) ... -6.153 eV/atom

=====

[4]
DFT (PBE) results for a geometry-optimized SrLi2Fe structure.

Cell lengths 5.1542, 5.1542, 5.1542 Å; angles 60.00, 60.00, 60.00 degrees
Last column: nearest neighbours and their distance in Å.
Fractional positions:
1 Fe 0.5000 0.5000 0.5000  4 Li 3.16, 4 Sr 3.16
2 Li 0.0000 0.0000 0.0000  4 Li 3.16, 4 Sr 3.16
3 Li 0.2500 0.2500 0.2500  4 Fe 3.16, 4 Li 3.16
4 Sr 0.7500 0.7500 0.7500  4 Fe 3.16, 4 Li 3.16

DFT formation energy ... 204.2 kJ/mol of formula units
Magnetization ... 0.659 μB per atom

=====

[5]
DFT (PBE) results for a geometry-optimized KNbZn2Sn structure.

Cell lengths 5.1790, 6.2924, 5.1790 Å; angles 90.00, 90.00, 90.00 degrees
Last column: nearest neighbours and their distance in Å.
Fractional positions:
1 K 0.0000 0.5000 0.0000  2 Sn 3.15
2 Zn 0.0000 0.0000 0.5000  2 Sn 2.59
3 Zn 0.5000 0.0000 0.0000  2 Sn 2.59
4 Nb 0.5000 0.5000 0.5000  4 K 3.66, 8 Zn 4.07
5 Sn 0.0000 0.0000 0.0000  4 Zn 2.59

DFT formation energy ... 610.0 kJ/mol of formula units
Magnetization ... 0.915 μB per atom

=====

[6]
DFT (PBE) results for a geometry-optimized Tb5Sm5In2 structure.

Cell lengths 5.4935, 6.6451, 11.8933 Å; angles 106.99, 90.00, 114.42 degrees
Last column: nearest neighbours and their distance in Å.
Fractional positions:
1 Tb 0.5000 0.0000 0.5000  2 Tb 3.46, 6 Sm 3.48-3.49, 4 In 3.76
2 Tb 0.6995 0.3990 0.0395  4 Tb 3.27-3.58, 1 In 3.32, 4 Sm 3.59-3.63
3 Tb 0.5459 0.0917 0.2274  2 In 3.14, 2 Tb 3.33-3.46
4 Tb 0.4541 0.9083 0.7726  2 In 3.14, 2 Tb 3.33-3.46
5 Tb 0.3005 0.6010 0.9605  4 Tb 3.27-3.58, 1 In 3.32, 4 Sm 3.59-3.63
6 Sm 0.1834 0.3668 0.5280  2 In 3.20-3.48, 2 Sm 3.36, 2 Tb 3.48
7 Sm 0.7495 0.4990 0.7501  7 Tb 3.49-3.68, 4 Sm 3.50-3.72, 3 In 3.54-3.83
8 Sm 0.2505 0.5010 0.2499  7 Tb 3.49-3.68, 4 Sm 3.50-3.72, 3 In 3.54-3.83
9 Sm 0.8166 0.6332 0.4720  2 In 3.20-3.48, 2 Sm 3.36, 2 Tb 3.48
10 Sm 0.0000 0.0000 0.0000  2 Sm 3.50, 2 In 3.53, 10 Tb 3.59-3.81
11 In 0.0587 0.1174 0.7281  3 Tb 3.14-3.32, 2 Sm 3.20-3.48
12 In 0.9413 0.8826 0.2719  3 Tb 3.14-3.32, 2 Sm 3.20-3.48

DFT formation energy ... -129.2 kJ/mol of formula units
Magnetization ... 0.000 μB per atom